The following is a PBE-GGA calculation of a relaxed structure of RbY3Ge, from the Alexandria database.

POSCAR file:
```
RbY3Ge
1.0
5.4126 0.0000 0.0000
0.0000 5.4126 0.0000
0.0000 0.0000 5.4126
Rb Y Ge
1 3 1
Cartesian
0.0000 0.0000 0.0000 Rb
0.0000 0.0000 2.7063 Y
0.0000 2.7063 0.0000 Y
2.7063 0.0000 0.0000 Y
2.7063 2.7063 2.7063 Ge
```

Formation energy: 7.0 eV/f.u.
N(E_F): 3.0 states/eV/cell
SG: No. 221
Magnetization: 0.000 μB/cell
Relative energy among the computed polymorphs: 1286.8 meV/atom